{
  "formula": "Tb2Ho3Ag2",
  "functional": "GGA-PBE",
  "state": "optimized geometry",
  "ef_ev_per_atom": 0.054,
  "sg": "No. 65",
  "vol_a3_per_fu": 187.1,
  "lattice": [[2.373, -11.569, 0.000], [2.373, 11.569, 0.000], [0.000, 0.000, 3.408]],
  "species": ["Tb", "Tb", "Ho", "Ho", "Ho", "Ag", "Ag"],
  "frac_coords": [[0.208, 0.792, 0.000], [0.792, 0.208, 0.000], [0.362, 0.638, 0.500], [0.500, 0.500, 0.500], [0.638, 0.362, 0.500], [0.069, 0.931, 0.000], [0.931, 0.069, 0.000]]
}